# 1
Computed, not measured: NdInHg after structural relaxation at the PBE level of DFT.

The structure belongs to space group P3m1 (No. 156); the cell edges are 4.9466, 4.9466 and 3.7778 Å and the angles 90.00°, 90.00° and 120.00°. The asymmetric unit holds Nd at (0.0000, 0.0000, 0.0000), In at (0.6667, 0.3333, 0.5031) and Hg at (0.3333, 0.6667, 0.4950).

Its formation enthalpy at 0 K is -0.470 eV per atom. The calculated volume comes out at 80.1 Å³/cell.

# 2
Computed, not measured: Y6TeSe5 after structural relaxation at the PBE level of DFT.

The structure belongs to space group C2/m (No. 12); the cell edges are 7.162, 12.427 and 7.172 Å and the angles 90.00°, 109.61° and 90.00°. The asymmetric unit holds Y at (0.237, 0.174, 0.229), Y at (0.238, 0.000, 0.761), Te at (0.000, 0.500, 0.500), Se at (0.000, 0.000, 0.000), Se at (0.000, 0.168, 0.500) and Se at (0.000, 0.341, 0.000).

Its energy relative to the elements, uncorrected is -1949 kJ/mol of formula units. The calculated volume comes out at 601.3 Å³/cell.

# 3
Computed, not measured: HgSbAu2 after structural relaxation at the PBE level of DFT.

The structure belongs to space group Immm (No. 71); the cell edges are 4.422, 4.672 and 8.323 Å and the angles 90.00°, 90.00° and 90.00°. The asymmetric unit holds Hg at (0.000, 0.000, 0.000), Sb at (0.000, 0.000, 0.500) and Au at (0.000, 0.500, 0.252).

Its energy relative to the elements, uncorrected is 56 kJ/mol of formula units. The calculated volume comes out at 172.0 Å³/cell. The distance to the lowest polymorph of the same formula is 0.1227 eV per atom.

# 4
Computed, not measured: CdTcPH2 after structural relaxation at the PBE level of DFT.

The structure belongs to space group P4/mmm (No. 123); the cell edges are 3.423, 3.423 and 6.458 Å and the angles 90.00°, 90.00° and 90.00°. The asymmetric unit holds Cd at (0.000, 0.000, 0.000), Tc at (0.500, 0.500, 0.500), P at (0.000, 0.000, 0.500) and H at (0.000, 0.500, 0.000).

The calculation puts the total energy at -4.049 eV per atom. The calculated volume comes out at 75.6 Å³/cell.

# 5
Computed, not measured: SmAg2Hg4 after structural relaxation at the PBE level of DFT.

The structure belongs to space group P4/mmm (No. 123); the cell edges are 4.863, 4.863 and 7.278 Å and the angles 90.00°, 90.00° and 90.00°. The asymmetric unit holds Sm at (0.000, 0.000, 0.000), Ag at (0.000, 0.000, 0.500), Ag at (0.500, 0.500, 0.000) and Hg at (0.000, 0.500, 0.278).

Its formation enthalpy at 0 K is -0.169 eV per atom. The calculated volume comes out at 172.1 Å³/cell. The distance to the lowest polymorph of the same formula is 0.0000 eV per atom.

# 6
Computed, not measured: Sr3YAu after structural relaxation at the PBE level of DFT.

The structure belongs to space group Pm-3m (No. 221); the cell edges are 6.050, 6.050 and 6.050 Å and the angles 90.00°, 90.00° and 90.00°. The asymmetric unit holds Sr at (0.000, 0.000, 0.500), Y at (0.500, 0.500, 0.500) and Au at (0.000, 0.000, 0.000).

Its formation enthalpy at 0 K is -0.071 eV per atom. The calculated volume comes out at 221.5 Å³/cell. The distance to the lowest polymorph of the same formula is 0.0000 eV per atom.

# 7
Computed, not measured: TaHgS3 after structural relaxation at the PBE level of DFT.

The structure belongs to space group Pm-3m (No. 221); the cell edges are 4.823, 4.823 and 4.823 Å and the angles 90.00°, 90.00° and 90.00°. The asymmetric unit holds Ta at (0.000, 0.000, 0.000), Hg at (0.500, 0.500, 0.500) and S at (0.000, 0.000, 0.500).

Its energy relative to the elements, uncorrected is -141 kJ/mol of formula units. The calculated volume comes out at 112.2 Å³/cell. The distance to the lowest polymorph of the same formula is 0.2202 eV per atom.

# 8
Computed, not measured: Mg2ZnGa after structural relaxation at the PBE level of DFT.

The structure belongs to space group P4/mmm (No. 123); the cell edges are 4.273, 4.273 and 4.071 Å and the angles 90.00°, 90.00° and 90.00°. The asymmetric unit holds Mg at (0.000, 0.500, 0.000), Zn at (0.000, 0.000, 0.500) and Ga at (0.500, 0.500, 0.500).

Its formation enthalpy at 0 K is -0.096 eV per atom. The calculated volume comes out at 74.3 Å³/cell.

# 9
Computed, not measured: CrTe2H after structural relaxation at the PBE level of DFT.

The structure belongs to space group Fm-3m (No. 225); the cell edges are 6.597, 6.597 and 6.597 Å and the angles 90.00°, 90.00° and 90.00°. The asymmetric unit holds Cr at (0.000, 0.000, 0.000), Te at (0.250, 0.250, 0.250) and H at (0.000, 0.000, 0.500).

The calculated volume comes out at 287.1 Å³/cell. The distance to the lowest polymorph of the same formula is 0.4875 eV per atom.

# 10
Computed, not measured: Cr2CoMo after structural relaxation at the PBE level of DFT.

The structure belongs to space group Cmm2 (No. 35); the cell edges are 3.097, 4.072 and 7.915 Å and the angles 90.00°, 90.00° and 90.00°. The asymmetric unit holds Cr at (0.000, 0.000, 0.000), Cr at (0.000, 0.500, 0.243), Co at (0.000, 0.500, 0.776) and Mo at (0.000, 0.000, 0.517).

Its formation enthalpy at 0 K is 0.145 eV per atom. The calculated volume comes out at 99.8 Å³/cell.

# 11
Computed, not measured: NdCuH6Ir after structural relaxation at the PBE level of DFT.

The structure belongs to space group P-6m2 (No. 187); the cell edges are 4.6484, 4.6484 and 4.3655 Å and the angles 90.00°, 90.00° and 120.00°. The asymmetric unit holds Nd at (0.0000, 0.0000, 0.0000), Cu at (0.3333, 0.6667, 0.5000), H at (0.5059, 0.0117, 0.2391) and Ir at (0.6667, 0.3333, 0.5000).

The calculation puts the total energy at -4.521 eV per atom. The calculated volume comes out at 81.7 Å³/cell.

# 12
Computed, not measured: ZnTe2Ir after structural relaxation at the PBE level of DFT.

The structure belongs to space group Cmmm (No. 65); the cell edges are 5.035, 10.649 and 4.003 Å and the angles 90.00°, 90.00° and 90.00°. The asymmetric unit holds Zn at (0.000, 0.000, 0.000), Te at (0.000, 0.340, 0.500) and Ir at (0.000, 0.500, 0.000).

Its energy relative to the elements, uncorrected is -38 kJ/mol of formula units. The calculated volume comes out at 214.6 Å³/cell.

# 13
Computed, not measured: KZnP3O9 after structural relaxation at the PBE level of DFT.

The structure belongs to space group P-6c2 (No. 188); the cell edges are 6.7379, 6.7379 and 9.9110 Å and the angles 90.00°, 90.00° and 120.00°. The asymmetric unit holds K at (0.0000, 0.0000, 0.0000), Zn at (0.6667, 0.3333, 0.0000), P at (0.0518, 0.4433, 0.2500), O at (0.1445, 0.4293, 0.7500) and O at (0.4082, 0.0692, 0.1198).

Its energy relative to the elements, uncorrected is -2855 kJ/mol of formula units. The calculated volume comes out at 389.7 Å³/cell.

# 14
Computed, not measured: Tm4InSn3 after structural relaxation at the PBE level of DFT.

The structure belongs to space group Pmm2 (No. 25); the cell edges are 4.257, 4.461 and 11.290 Å and the angles 90.00°, 90.00° and 90.00°. The asymmetric unit holds Tm at (0.000, 0.000, 0.000), Tm at (0.000, 0.500, 0.499), Tm at (0.500, 0.000, 0.269), Tm at (0.500, 0.500, 0.769), In at (0.500, 0.500, 0.042), Sn at (0.000, 0.000, 0.729), Sn at (0.000, 0.500, 0.224) and Sn at (0.500, 0.000, 0.539).

Its formation enthalpy at 0 K is -0.606 eV per atom. The calculated volume comes out at 214.4 Å³/cell.

# 15
Computed, not measured: TlRuRh2 after structural relaxation at the PBE level of DFT.

The structure belongs to space group F-43m (No. 216); the cell edges are 6.371, 6.371 and 6.371 Å and the angles 90.00°, 90.00° and 90.00°. The asymmetric unit holds Tl at (0.000, 0.000, 0.000), Ru at (0.250, 0.250, 0.750), Rh at (0.000, 0.000, 0.500) and Rh at (0.250, 0.250, 0.250).

Its formation enthalpy at 0 K is 0.421 eV per atom. The calculated volume comes out at 258.6 Å³/cell. The distance to the lowest polymorph of the same formula is 0.2064 eV per atom.

# 16
Computed, not measured: GdYPuCd after structural relaxation at the PBE level of DFT.

The structure belongs to space group F-43m (No. 216); the cell edges are 7.686, 7.686 and 7.686 Å and the angles 90.00°, 90.00° and 90.00°. The asymmetric unit holds Gd at (0.000, 0.000, 0.000), Y at (0.000, 0.000, 0.500), Pu at (0.250, 0.250, 0.750) and Cd at (0.250, 0.250, 0.250).

Its formation enthalpy at 0 K is 0.056 eV per atom. The calculated volume comes out at 454.1 Å³/cell.

# 17
Computed, not measured: CaGdRu4 after structural relaxation at the PBE level of DFT.

The structure belongs to space group F-43m (No. 216); the cell edges are 7.573, 7.573 and 7.573 Å and the angles 90.00°, 90.00° and 90.00°. The asymmetric unit holds Ca at (0.000, 0.000, 0.000), Gd at (0.250, 0.250, 0.750) and Ru at (0.125, 0.125, 0.375).

Its formation enthalpy at 0 K is -0.077 eV per atom. The calculated volume comes out at 434.3 Å³/cell.

# 18
Computed, not measured: TmTi2Al after structural relaxation at the PBE level of DFT.

The structure belongs to space group P4/mmm (No. 123); the cell edges are 4.270, 4.270 and 4.229 Å and the angles 90.00°, 90.00° and 90.00°. The asymmetric unit holds Tm at (0.000, 0.000, 0.000), Ti at (0.000, 0.500, 0.500) and Al at (0.500, 0.500, 0.000).

Its formation enthalpy at 0 K is -0.090 eV per atom. The calculated volume comes out at 77.1 Å³/cell. The distance to the lowest polymorph of the same formula is 0.0000 eV per atom.

# 19
Computed, not measured: HfSc2Au2 after structural relaxation at the PBE level of DFT.

The structure belongs to space group P4/mbm (No. 127); the cell edges are 7.987, 7.987 and 3.206 Å and the angles 90.00°, 90.00° and 90.00°. The asymmetric unit holds Hf at (0.000, 0.000, 0.000), Sc at (0.149, 0.351, 0.000) and Au at (0.149, 0.649, 0.500).

Its formation enthalpy at 0 K is -0.378 eV per atom. The calculated volume comes out at 204.5 Å³/cell. The distance to the lowest polymorph of the same formula is 0.1781 eV per atom.

# 20
Computed, not measured: MnFe2Co after structural relaxation at the PBE level of DFT.

The structure belongs to space group Cmmm (No. 65); the cell edges are 2.798, 4.018 and 8.051 Å and the angles 90.00°, 90.00° and 90.00°. The asymmetric unit holds Mn at (0.000, 0.000, 0.000), Fe at (0.000, 0.500, 0.250) and Co at (0.000, 0.000, 0.500).

Its formation enthalpy at 0 K is 0.073 eV per atom. The calculated volume comes out at 90.5 Å³/cell.